Entry from Alexandria via LeMat-Bulk: Rb2Ba2Li after structural relaxation (PBE). Values from VASP.

## Properties
The value obtained for the energy is -1.30 eV per atom. The value obtained for the formation energy is 0.23 eV/atom. As for the symmetry: P4/mbm (127).

```
&SYSTEM
  ibrav = 0, nat = 10, ntyp = 3
/
ATOMIC_SPECIES
Rb 85.47 Rb.upf
Ba 137.33 Ba.upf
Li 6.94 Li.upf
CELL_PARAMETERS angstrom
9.406 0.000 0.000
0.000 9.406 0.000
0.000 0.000 7.787
ATOMIC_POSITIONS angstrom
Rb 1.628 3.075 0.000
Rb 3.075 7.778 0.000
Rb 6.330 1.628 0.000
Rb 7.778 6.330 0.000
Ba 1.512 6.214 3.894
Ba 3.191 1.512 3.894
Ba 6.214 7.894 3.894
Ba 7.894 3.191 3.894
Li 0.000 0.000 3.894
Li 4.703 4.703 3.894
```

Entry from Alexandria via LeMat-Bulk: TiNi2P after structural relaxation (PBE). Values from VASP.

## Properties
The value obtained for the energy is -6.60 eV per atom. The value obtained for the formation energy is -0.39 eV/atom. As for the symmetry: I-42d (122).

```
&SYSTEM
  ibrav = 0, nat = 8, ntyp = 3
/
ATOMIC_SPECIES
Ti 47.87 Ti.upf
Ni 58.69 Ni.upf
P 30.97 P.upf
CELL_PARAMETERS angstrom
-1.796 1.796 8.161
1.796 -1.796 8.161
1.796 1.796 -8.161
ATOMIC_POSITIONS angstrom
Ti 0.000 0.000 0.000
Ti 0.000 1.796 4.080
Ni 0.898 -0.814 6.121
Ni 0.982 0.898 2.040
Ni 0.898 2.610 -2.040
Ni 0.814 0.898 10.201
P 1.796 0.000 4.080
P 0.000 0.000 8.161
```

Entry from Alexandria via LeMat-Bulk: Mg2InRu after structural relaxation (PBE). Values from VASP.

## Properties
The value obtained for the energy is -3.48 eV per atom. The value obtained for the formation energy is 0.32 eV/atom. As for the symmetry: I-42d (122).

```
&SYSTEM
  ibrav = 0, nat = 8, ntyp = 3
/
ATOMIC_SPECIES
Mg 24.30 Mg.upf
In 114.82 In.upf
Ru 101.07 Ru.upf
CELL_PARAMETERS angstrom
-2.008 2.008 9.845
2.008 -2.008 9.845
2.008 2.008 -9.845
ATOMIC_POSITIONS angstrom
Mg 3.012 0.921 -2.461
Mg 0.921 1.004 2.461
Mg -1.004 1.087 7.384
Mg 1.087 1.004 12.307
In 2.008 0.000 4.923
In 0.000 0.000 9.845
Ru 0.000 0.000 0.000
Ru 0.000 2.008 4.923
```

Entry from Alexandria via LeMat-Bulk: Ni2PAu after structural relaxation (PBE). Values from VASP.

## Properties
The value obtained for the energy is -5.08 eV per atom. The value obtained for the formation energy is -0.01 eV/atom. As for the symmetry: P4mm (99).

```
&SYSTEM
  ibrav = 0, nat = 4, ntyp = 3
/
ATOMIC_SPECIES
Ni 58.69 Ni.upf
P 30.97 P.upf
Au 196.97 Au.upf
CELL_PARAMETERS angstrom
3.063 0.000 0.000
0.000 3.063 0.000
0.000 0.000 5.810
ATOMIC_POSITIONS angstrom
Ni 0.000 0.000 0.000
Ni 1.531 1.531 1.374
P 0.000 0.000 2.196
Au 1.531 1.531 4.237
```

Entry from Alexandria via LeMat-Bulk: CoMo2W after structural relaxation (PBE). Values from VASP.

## Properties
The value obtained for the energy is -10.22 eV per atom. The value obtained for the formation energy is 0.21 eV/atom. As for the symmetry: F-43m (216).

```
&SYSTEM
  ibrav = 0, nat = 4, ntyp = 3
/
ATOMIC_SPECIES
Co 58.93 Co.upf
Mo 95.94 Mo.upf
W 183.84 W.upf
CELL_PARAMETERS angstrom
0.000 3.096 3.096
3.096 0.000 3.096
3.096 3.096 0.000
ATOMIC_POSITIONS angstrom
Co 0.000 0.000 0.000
Mo 3.096 3.096 3.096
Mo 4.644 4.644 4.644
W 1.548 1.548 1.548
```

Entry from Alexandria via LeMat-Bulk: Cd2AgHRh after structural relaxation (PBE). Values from VASP.

## Properties
The value obtained for the energy is -3.12 eV per atom. As for the symmetry: P4/mmm (123).

```
&SYSTEM
  ibrav = 0, nat = 5, ntyp = 4
/
ATOMIC_SPECIES
Cd 112.41 Cd.upf
Ag 107.87 Ag.upf
H 1.01 H.upf
Rh 102.91 Rh.upf
CELL_PARAMETERS angstrom
4.718 0.000 0.000
0.000 4.718 0.000
0.000 0.000 3.420
ATOMIC_POSITIONS angstrom
Cd 0.000 2.359 0.000
Cd 2.359 0.000 0.000
Ag 0.000 0.000 1.710
H 2.359 2.359 0.000
Rh 2.359 2.359 1.710
```

Entry from Alexandria via LeMat-Bulk: TbHo2Sc after structural relaxation (PBE). Values from VASP.

## Properties
The value obtained for the energy is -4.99 eV per atom. The value obtained for the formation energy is 0.04 eV/atom. As for the symmetry: P-1 (2).

```
&SYSTEM
  ibrav = 0, nat = 8, ntyp = 3
/
ATOMIC_SPECIES
Tb 158.93 Tb.upf
Ho 164.93 Ho.upf
Sc 44.96 Sc.upf
CELL_PARAMETERS angstrom
6.000 0.000 0.000
1.979 6.634 0.000
1.966 3.026 5.918
ATOMIC_POSITIONS angstrom
Tb 1.973 1.218 0.746
Tb 7.972 8.442 5.172
Ho 2.976 2.727 3.690
Ho 2.982 4.520 0.752
Ho 6.962 5.140 5.166
Ho 6.968 6.933 2.228
Sc 3.993 6.022 3.688
Sc 5.951 3.638 2.230
```

Entry from Alexandria via LeMat-Bulk: RbInPb after structural relaxation (PBE). Values from VASP.

## Properties
The value obtained for the energy is -2.65 eV per atom. The value obtained for the formation energy is -0.18 eV/atom. As for the symmetry: P4/nmm (129).

```
&SYSTEM
  ibrav = 0, nat = 6, ntyp = 3
/
ATOMIC_SPECIES
Rb 85.47 Rb.upf
In 114.82 In.upf
Pb 207.20 Pb.upf
CELL_PARAMETERS angstrom
5.025 0.000 0.000
0.000 5.025 0.000
0.000 0.000 9.110
ATOMIC_POSITIONS angstrom
Rb 1.256 1.256 1.476
Rb 3.769 3.769 7.634
In 1.256 3.769 4.555
In 3.769 1.256 4.555
Pb 1.256 1.256 6.468
Pb 3.769 3.769 2.641
```

Entry from Alexandria via LeMat-Bulk: Tb5Sm3In after structural relaxation (PBE). Values from VASP.

## Properties
The value obtained for the energy is -4.07 eV per atom. The value obtained for the formation energy is 0.38 eV/atom. As for the symmetry: C2/m (12).

```
&SYSTEM
  ibrav = 0, nat = 18, ntyp = 3
/
ATOMIC_SPECIES
Tb 158.93 Tb.upf
Sm 150.36 Sm.upf
In 114.82 In.upf
CELL_PARAMETERS angstrom
4.935 -5.791 0.000
4.935 5.791 0.000
-0.102 0.000 11.331
ATOMIC_POSITIONS angstrom
Tb 0.118 0.000 2.707
Tb 3.641 2.863 4.128
Tb 1.658 0.000 11.327
Tb 4.935 2.946 0.000
Tb 6.127 2.863 7.203
Tb 3.641 -2.863 4.128
Tb 4.935 -2.946 0.000
Tb 8.110 0.000 0.004
Tb 6.127 -2.863 7.203
Tb 9.651 0.000 8.624
Sm 1.586 0.000 5.524
Sm 3.158 0.000 8.502
Sm 4.935 0.000 0.000
Sm 4.884 0.000 5.666
Sm 6.611 0.000 2.829
Sm 8.182 0.000 5.807
In 3.345 0.000 2.709
In 6.424 0.000 8.622
```

Entry from Alexandria via LeMat-Bulk: ScAu after structural relaxation (PBE). Values from VASP.

## Properties
The value obtained for the energy is -5.41 eV per atom. The value obtained for the formation energy is -0.60 eV/atom. As for the symmetry: Fd-3m (227).

```
&SYSTEM
  ibrav = 0, nat = 4, ntyp = 2
/
ATOMIC_SPECIES
Sc 44.96 Sc.upf
Au 196.97 Au.upf
CELL_PARAMETERS angstrom
0.000 3.337 3.337
3.337 0.000 3.337
3.337 3.337 0.000
ATOMIC_POSITIONS angstrom
Sc 0.834 0.834 0.834
Sc 5.840 5.840 5.840
Au 2.503 2.503 2.503
Au 4.171 4.171 4.171
```

Entry from Alexandria via LeMat-Bulk: NaPm8Sn6 after structural relaxation (PBE). Values from VASP.

## Properties
The value obtained for the energy is -4.77 eV per atom. The value obtained for the formation energy is -0.54 eV/atom. As for the symmetry: R-3 (148).

```
&SYSTEM
  ibrav = 0, nat = 15, ntyp = 3
/
ATOMIC_SPECIES
Na 22.99 Na.upf
Pm 145.00 Pm.upf
Sn 118.71 Sn.upf
CELL_PARAMETERS angstrom
4.705 2.717 6.462
-4.705 2.717 6.462
0.000 -5.433 6.462
ATOMIC_POSITIONS angstrom
Na 0.000 0.000 0.000
Pm -3.191 0.167 8.357
Pm -1.740 -2.680 11.030
Pm 0.000 0.000 6.444
Pm 1.451 -2.847 8.357
Pm -1.451 2.847 11.030
Pm 0.000 0.000 12.943
Pm 1.740 2.680 8.357
Pm 3.191 -0.167 11.030
Sn -1.655 -2.624 7.851
Sn -3.100 0.122 11.535
Sn -1.445 2.745 7.851
Sn 1.445 -2.745 11.535
Sn 3.100 -0.122 7.851
Sn 1.655 2.624 11.535
```

Entry from Alexandria via LeMat-Bulk: TbNdDyHg after structural relaxation (PBE). Values from VASP.

## Properties
The value obtained for the energy is -3.63 eV per atom. The value obtained for the formation energy is -0.05 eV/atom. As for the symmetry: F-43m (216).

```
&SYSTEM
  ibrav = 0, nat = 4, ntyp = 4
/
ATOMIC_SPECIES
Tb 158.93 Tb.upf
Nd 144.24 Nd.upf
Dy 162.50 Dy.upf
Hg 200.59 Hg.upf
CELL_PARAMETERS angstrom
0.000 3.867 3.867
3.867 0.000 3.867
3.867 3.867 0.000
ATOMIC_POSITIONS angstrom
Tb 0.000 0.000 0.000
Nd 5.800 5.800 5.800
Dy 1.933 1.933 1.933
Hg 3.867 3.867 3.867
```